Entry from Alexandria via LeMat-Bulk: a geometry-optimized Cs3Cd4Pd structure (PBE).

Cell and atoms, written as extended XYZ:
```
8
Lattice="-3.822 6.469 -1.819 -0.663 -7.048 -3.108 -2.906 1.468 7.012" Properties=species:S:1:pos:R:3 pbc="T T T"
Cs -4.663 3.120 3.878
Cs -6.167 7.274 4.759
Cs -3.590 -1.214 -1.129
Cd -3.985 -2.112 3.875
Cd -2.587 0.074 2.346
Cd -3.336 2.388 0.363
Cd -1.633 -4.355 -0.147
Pd -1.921 -2.629 2.057
```

Values from the calculation:
* electronic total energy: -1.50 eV per atom
* Fermi-level density of states: 3.75 states/eV per cell
* density: 5.302 Mg/m³